No. 1
Below is crystalline AcSnS3 at its relaxed geometry, with properties calculated at the GGA-PBE level.

Values from the calculation:
space group = Pnma
E above lowest polymorph = 0.00 eV per formula unit
total DFT energy (no corrections) = -5.359 eV/atom
M_tot = 0.00 μB/f.u.

a b c (Å): 6.8444 7.6012 10.0012
angles (deg): 90.00 90.00 90.00
Element x y z (fractional)
Sn  0.5000  0.9997  0.9822
Sn  0.5000  0.0003  0.4822
Sn  0.0000  0.4997  0.9822
Sn  0.0000  0.5003  0.4822
S  0.3792  0.0346  0.2322
S  0.3192  0.3128  0.5410
S  0.6208  0.9654  0.7322
S  0.1208  0.5346  0.2322
S  0.3194  0.3124  0.9233
S  0.1808  0.8128  0.5410
S  0.8792  0.4654  0.7322
S  0.6808  0.6872  0.0410
S  0.8192  0.1872  0.0410
S  0.1806  0.8124  0.9233
S  0.8194  0.1876  0.4233
S  0.6806  0.6876  0.4233
Ac  0.4628  0.5956  0.7322
Ac  0.9628  0.9044  0.2322
Ac  0.5372  0.4044  0.2322
Ac  0.0372  0.0956  0.7322


No. 2
Below is crystalline Sc2TcIr at its relaxed geometry, with properties calculated at the GGA-PBE level.

Values from the calculation:
ΔE_f = -339 meV per atom
space group = C2/m
total DFT energy (no corrections) = -8.312 eV/atom
M_tot = 0.00 μB/f.u.

a b c (Å): 5.5785 5.1503 2.9276
angles (deg): 77.74 82.37 120.25
Element x y z (fractional)
Tc  0.0000  0.5000  0.5000
Sc  0.0000  0.0000  0.0000
Sc  0.5000  0.0000  0.5000
Ir  0.5000  0.5000  0.0000


No. 3
Below is crystalline ScCdB at its relaxed geometry, with properties calculated at the GGA-PBE level.

Values from the calculation:
ΔE_f = 600 meV per atom
space group = P6_3/mmc
E above lowest polymorph = 3.27 eV per formula unit
total DFT energy (no corrections) = -4.042 eV/atom
M_tot = 0.30 μB/f.u.

a b c (Å): 3.9431 3.9431 9.3106
angles (deg): 90.00 90.00 120.00
Site moments in Bohr magnetons follow the coordinates.
Element x y z (fractional)
B  0.0000  0.0000  0.2500  0.01
B  0.0000  0.0000  0.7500  0.01
Sc  0.0000  0.0000  0.0000  0.13
Sc  0.0000  0.0000  0.5000  0.14
Cd  0.6667  0.3333  0.7500  0.01
Cd  0.3333  0.6667  0.2500  0.01